(1)
Density functional theory data (PBE-GGA) for crystalline Mg2FeTc at its relaxed geometry. Values from VASP.

Structure (Quantum ESPRESSO input):
```
&SYSTEM
  ibrav = 0, nat = 4, ntyp = 3
/
ATOMIC_SPECIES
Tc 98.00 Tc.upf
Fe 55.84 Fe.upf
Mg 24.30 Mg.upf
CELL_PARAMETERS angstrom
-2.531 1.998 -2.031
-2.541 -0.246 2.924
1.527 3.592 1.629
ATOMIC_POSITIONS crystal
Tc 0.500 0.000 0.500
Fe 0.000 0.500 0.500
Mg 0.500 0.500 0.000
Mg 0.000 0.000 0.000
```

Output
Size of the total moment, μB/f.u.: 3.2
Excess energy over the best structure of this formula in the dataset, kJ per mole of atoms: 18.7
Space group: Pmmm (47)

(2)
Density functional theory data (PBE-GGA) for crystalline LaNi3 at its relaxed geometry. Values from VASP.

Structure (Quantum ESPRESSO input):
```
&SYSTEM
  ibrav = 0, nat = 4, ntyp = 2
/
ATOMIC_SPECIES
Ni 58.69 Ni.upf
La 138.91 La.upf
CELL_PARAMETERS angstrom
2.908 0.000 0.000
-1.454 8.687 0.001
1.454 -0.244 2.507
ATOMIC_POSITIONS crystal
Ni 0.500 0.500 0.500
Ni 0.765 0.295 0.765
Ni 0.235 0.705 0.235
La 0.000 0.000 0.000
```

Output
Energy, eV per atom: -5.034
Size of the total moment, μB/f.u.: 1.5
Space group: R-3m (166)

(3)
Density functional theory data (PBE-GGA) for crystalline PrCuAu2 at its relaxed geometry. Values from VASP.

Structure (Quantum ESPRESSO input):
```
&SYSTEM
  ibrav = 0, nat = 4, ntyp = 3
/
ATOMIC_SPECIES
Au 196.97 Au.upf
Pr 140.91 Pr.upf
Cu 63.55 Cu.upf
CELL_PARAMETERS angstrom
4.552 0.000 0.000
2.276 3.942 0.000
2.276 1.314 4.830
ATOMIC_POSITIONS crystal
Au 0.783 0.783 0.650
Au 0.217 0.217 0.350
Pr 0.000 0.000 0.000
Cu 0.500 0.500 0.500
```

Output
Size of the total moment, μB/f.u.: 0.0
Excess energy over the best structure of this formula in the dataset, kJ per mole of atoms: 6.3
Space group: R-3m (166)

(4)
Density functional theory data (PBE-GGA) for crystalline IrRuPt2Se at its relaxed geometry. Values from VASP.

Structure (Quantum ESPRESSO input):
```
&SYSTEM
  ibrav = 0, nat = 5, ntyp = 4
/
ATOMIC_SPECIES
Pt 195.08 Pt.upf
Ir 192.22 Ir.upf
Se 78.96 Se.upf
Ru 101.07 Ru.upf
CELL_PARAMETERS angstrom
-1.714 -1.609 4.199
1.865 -4.191 -0.845
4.064 1.368 2.183
ATOMIC_POSITIONS crystal
Pt 0.500 0.000 0.000
Pt 0.000 0.000 0.500
Ir 0.000 0.500 0.000
Se 0.500 0.500 0.500
Ru 0.000 0.000 0.000
```

Output
Size of the total moment, μB/f.u.: 0.0
Formation energy (no corrections), meV per atom: 1564
Space group: P4/mmm (123)

(5)
Density functional theory data (PBE-GGA) for crystalline PmEr2Al at its relaxed geometry. Values from VASP.

Structure (Quantum ESPRESSO input):
```
&SYSTEM
  ibrav = 0, nat = 4, ntyp = 3
/
ATOMIC_SPECIES
Er 167.26 Er.upf
Pm 145.00 Pm.upf
Al 26.98 Al.upf
CELL_PARAMETERS angstrom
4.767 0.000 0.000
0.000 4.776 0.000
0.000 0.000 4.776
ATOMIC_POSITIONS crystal
Er 0.000 0.000 0.500
Er 0.000 0.500 0.000
Pm 0.500 0.500 0.500
Al 0.500 0.000 0.000
```

Output
Size of the total moment, μB/f.u.: 0.0
Excess energy over the best structure of this formula in the dataset, kJ per mole of atoms: 2.1
Space group: P4/mmm (123)

(6)
Density functional theory data (PBE-GGA) for crystalline LiLa4Hg2 at its relaxed geometry. Values from VASP.

Structure (Quantum ESPRESSO input):
```
&SYSTEM
  ibrav = 0, nat = 7, ntyp = 3
/
ATOMIC_SPECIES
La 138.91 La.upf
Hg 200.59 Hg.upf
Li 6.94 Li.upf
CELL_PARAMETERS angstrom
5.196 0.000 1.623
2.344 4.637 1.623
-0.022 -0.013 9.197
ATOMIC_POSITIONS crystal
La 0.134 0.134 0.597
La 0.614 0.614 0.159
La 0.386 0.386 0.841
Hg 0.740 0.740 0.781
Li 0.000 0.000 0.000
Hg 0.260 0.260 0.219
La 0.866 0.866 0.403
```

Output
Energy, eV per atom: -3.377
Size of the total moment, μB/f.u.: 0.9
Space group: R-3m (166)

(7)
Density functional theory data (PBE-GGA) for crystalline AlSbBr2 at its relaxed geometry. Values from VASP.

Structure (Quantum ESPRESSO input):
```
&SYSTEM
  ibrav = 0, nat = 8, ntyp = 3
/
ATOMIC_SPECIES
Br 79.90 Br.upf
Sb 121.76 Sb.upf
Al 26.98 Al.upf
CELL_PARAMETERS angstrom
-5.691 6.058 0.167
-1.246 -1.394 8.100
0.716 6.227 5.448
ATOMIC_POSITIONS crystal
Br 0.875 0.623 0.750
Br 0.373 0.125 0.250
Sb 0.750 0.250 0.500
Br 0.377 0.625 0.250
Br 0.375 0.627 0.750
Al 0.500 0.500 0.000
Sb 0.000 0.000 0.000
Al 0.250 0.750 0.500
```

Output
Size of the total moment, μB/f.u.: 3.0
Excess energy over the best structure of this formula in the dataset, kJ per mole of atoms: 49.2
Formation energy (no corrections), meV per atom: 173
Space group: I-42d (122)

(8)
Density functional theory data (PBE-GGA) for crystalline Ho2PuTl at its relaxed geometry. Values from VASP.

Structure (Quantum ESPRESSO input):
```
&SYSTEM
  ibrav = 0, nat = 4, ntyp = 3
/
ATOMIC_SPECIES
Tl 204.38 Tl.upf
Ho 164.93 Ho.upf
Pu 244.00 Pu.upf
CELL_PARAMETERS angstrom
3.505 0.000 0.000
0.000 3.505 0.000
0.000 0.000 9.106
ATOMIC_POSITIONS crystal
Tl 0.500 0.500 0.000
Ho 0.000 0.000 0.761
Pu 0.500 0.500 0.500
Ho 0.000 0.000 0.239
```

Output
Size of the total moment, μB/f.u.: 5.9
Excess energy over the best structure of this formula in the dataset, kJ per mole of atoms: 0.0
Space group: P4/mmm (123)

(9)
Density functional theory data (PBE-GGA) for crystalline KReSe3 at its relaxed geometry. Values from VASP.

Structure (Quantum ESPRESSO input):
```
&SYSTEM
  ibrav = 0, nat = 5, ntyp = 3
/
ATOMIC_SPECIES
Re 186.21 Re.upf
Se 78.96 Se.upf
K 39.10 K.upf
CELL_PARAMETERS angstrom
-2.856 -1.212 4.749
3.085 -4.715 0.652
3.808 2.911 3.034
ATOMIC_POSITIONS crystal
Re 0.500 0.500 0.500
Se 0.000 0.500 0.000
Se 0.500 0.000 0.000
K 0.000 0.000 0.000
Se 0.000 0.000 0.500
```

Output
Size of the total moment, μB/f.u.: 2.0
Excess energy over the best structure of this formula in the dataset, kJ per mole of atoms: 229.1
Formation energy (no corrections), meV per atom: 1957
Space group: Pm-3m (221)

(10)
Density functional theory data (PBE-GGA) for crystalline Rb2PbSeCl6 at its relaxed geometry. Values from VASP.

Structure (Quantum ESPRESSO input):
```
&SYSTEM
  ibrav = 0, nat = 10, ntyp = 4
/
ATOMIC_SPECIES
Cl 35.45 Cl.upf
Rb 85.47 Rb.upf
Pb 207.20 Pb.upf
Se 78.96 Se.upf
CELL_PARAMETERS angstrom
7.449 0.000 0.000
0.000 7.449 0.000
3.725 3.725 6.486
ATOMIC_POSITIONS crystal
Cl 0.783 0.783 0.434
Rb 0.750 0.250 0.500
Cl 0.268 0.732 0.000
Rb 0.250 0.750 0.500
Cl 0.217 0.217 0.566
Cl 0.732 0.268 0.000
Pb 0.000 0.000 0.000
Cl 0.268 0.268 0.000
Se 0.500 0.500 0.000
Cl 0.732 0.732 0.000
```

Output
Size of the total moment, μB/f.u.: 0.0
Formation energy (no corrections), meV per atom: -1131
Space group: I4/mmm (139)

(11)
Density functional theory data (PBE-GGA) for crystalline ZrHg2CI at its relaxed geometry. Values from VASP.

Structure (Quantum ESPRESSO input):
```
&SYSTEM
  ibrav = 0, nat = 5, ntyp = 4
/
ATOMIC_SPECIES
Hg 200.59 Hg.upf
I 126.90 I.upf
Zr 91.22 Zr.upf
C 12.01 C.upf
CELL_PARAMETERS angstrom
5.806 0.000 0.000
0.000 5.354 0.000
0.000 0.000 5.806
ATOMIC_POSITIONS crystal
Hg 0.500 0.000 0.000
Hg 0.000 0.000 0.500
I 0.000 0.000 0.000
Zr 0.000 0.500 0.000
C 0.500 0.500 0.500
```

Output
Size of the total moment, μB/f.u.: 0.0
Excess energy over the best structure of this formula in the dataset, kJ per mole of atoms: 168.5
Formation energy (no corrections), meV per atom: 2299
Space group: P4/mmm (123)

(12)
Density functional theory data (PBE-GGA) for crystalline GdDyHg2 at its relaxed geometry. Values from VASP.

Structure (Quantum ESPRESSO input):
```
&SYSTEM
  ibrav = 0, nat = 4, ntyp = 3
/
ATOMIC_SPECIES
Hg 200.59 Hg.upf
Gd 157.25 Gd.upf
Dy 162.50 Dy.upf
CELL_PARAMETERS angstrom
3.726 0.000 0.000
0.000 3.726 0.000
0.000 0.000 7.513
ATOMIC_POSITIONS crystal
Hg 0.000 0.000 0.743
Gd 0.500 0.500 0.000
Dy 0.500 0.500 0.500
Hg 0.000 0.000 0.257
```

Output
Size of the total moment, μB/f.u.: 7.7
Excess energy over the best structure of this formula in the dataset, kJ per mole of atoms: 0.0
Space group: P4/mmm (123)

(13)
Density functional theory data (PBE-GGA) for crystalline Pm2YEr at its relaxed geometry. Values from VASP.

Structure (Quantum ESPRESSO input):
```
&SYSTEM
  ibrav = 0, nat = 4, ntyp = 3
/
ATOMIC_SPECIES
Pm 145.00 Pm.upf
Y 88.91 Y.upf
Er 167.26 Er.upf
CELL_PARAMETERS angstrom
5.728 0.000 0.000
2.864 4.960 0.000
2.864 1.653 4.677
ATOMIC_POSITIONS crystal
Pm 0.250 0.250 0.250
Y 0.500 0.500 0.500
Er 0.000 0.000 0.000
Pm 0.750 0.750 0.750
```

Output
Size of the total moment, μB/f.u.: 0.0
Excess energy over the best structure of this formula in the dataset, kJ per mole of atoms: 9.5
Space group: Fm-3m (225)